DFT (GGA+U) results for K2MoO4 after structural relaxation.

abc: 6.439 6.696 7.388
angles: 90.00 109.03 90.00
Sites, in units of the cell vectors:
K  0.164  0.250  0.018
K  0.294  0.250  0.567
K  0.706  0.750  0.433
K  0.836  0.750  0.982
Mo  0.270  0.750  0.803
Mo  0.730  0.250  0.197
O  0.092  0.534  0.750
O  0.092  0.966  0.750
O  0.425  0.750  0.054
O  0.458  0.750  0.669
O  0.542  0.250  0.331
O  0.575  0.250  0.946
O  0.908  0.034  0.250
O  0.908  0.466  0.250

The total DFT energy (no corrections) comes out at -6.02 eV per atom.